## i
{
  "formula": "Li6Sn2Pb",
  "functional": "PBE",
  "state": "optimized geometry",
  "lattice_angstrom": [[-5.2679, 0.1321, 1.8611], [-0.7847, -5.4282, -1.0400], [1.5579, -0.9595, 5.2739]],
  "species": ["Li", "Li", "Li", "Li", "Li", "Li", "Sn", "Sn", "Pb"],
  "frac_coords": [[0.5000, 0.1679, 0.8321], [0.1677, 0.4998, 0.1677], [0.5000, 0.8321, 0.1679], [0.1677, 0.1677, 0.4998], [0.8323, 0.5002, 0.8323], [0.8323, 0.8323, 0.5002], [0.6639, 0.3358, 0.3358], [0.3361, 0.6642, 0.6642], [0.0000, 0.0000, 0.0000]]
}


## ii
{
  "formula": "Li6Sn2Pb",
  "functional": "PBE",
  "state": "optimized geometry",
  "lattice_angstrom": [[2.8108, 0.0000, -1.0705], [0.0000, 8.1564, -0.0004], [-3.1171, -4.0786, 8.7170]],
  "species": ["Li", "Li", "Li", "Li", "Li", "Li", "Sn", "Sn", "Pb"],
  "frac_coords": [[0.5000, 0.3372, 0.0000], [0.8239, 0.9998, 0.6631], [0.1761, 0.0002, 0.3369], [0.1761, 0.3367, 0.3369], [0.5000, 0.6628, 0.0000], [0.8239, 0.6633, 0.6631], [0.6670, 0.6668, 0.3335], [0.3330, 0.3332, 0.6665], [0.0000, 0.0000, 0.0000]]
}


Result of the stability comparison: ii is the least stable of them.


## i
{
  "formula": "LiTbSnPb",
  "functional": "PBE",
  "state": "optimized geometry",
  "lattice_angstrom": [[-1.9266, -3.9906, -0.3012], [3.4018, -1.8549, 2.8161], [-2.5893, 0.9660, 3.7642]],
  "species": ["Tb", "Li", "Sn", "Pb"],
  "frac_coords": [[0.5000, 0.0000, 0.5000], [0.5000, 0.5000, 0.0000], [0.0000, 0.0000, 0.0000], [0.0000, 0.5000, 0.5000]]
}


## ii
{
  "formula": "LiTbSnPb",
  "functional": "PBE",
  "state": "optimized geometry",
  "lattice_angstrom": [[5.2681, 0.0000, 0.0000], [2.6340, 4.5623, 0.0000], [2.6340, 1.5208, 4.3014]],
  "species": ["Sn", "Pb", "Li", "Tb"],
  "frac_coords": [[0.2500, 0.2500, 0.2500], [0.7500, 0.7500, 0.7500], [0.0000, 0.0000, 0.0000], [0.5000, 0.5000, 0.5000]]
}


Result of the stability comparison: ii is the least stable of them.


## i
{
  "formula": "LiTmSnPb",
  "functional": "PBE",
  "state": "optimized geometry",
  "lattice_angstrom": [[-3.5682, 3.1638, -2.1318], [-3.9101, 1.8679, 2.9170], [-0.1083, 5.0603, 1.2915]],
  "species": ["Li", "Tm", "Sn", "Pb"],
  "frac_coords": [[0.5000, 0.5000, 0.5000], [0.0000, 0.0000, 0.0000], [0.2500, 0.2500, 0.2500], [0.7500, 0.7500, 0.7500]]
}


## ii
{
  "formula": "LiTmSnPb",
  "functional": "PBE",
  "state": "optimized geometry",
  "lattice_angstrom": [[4.3752, 0.0000, 0.0000], [0.0000, 4.7705, 0.0000], [0.0000, 0.0000, 4.6415]],
  "species": ["Sn", "Li", "Pb", "Tm"],
  "frac_coords": [[0.5000, 0.5000, 0.0000], [0.0000, 0.0000, 0.0000], [0.5000, 0.0000, 0.5000], [0.0000, 0.5000, 0.5000]]
}


Result of the stability comparison: i is the least stable of them.